# 1
Er2CdAgPd4 GGA-PBE relaxed; ΔH_f (0 K) = -703 meV per atom; total magnetization = 0.000 μB per formula unit; calculated total energy = -4.91 eV per atom
1.0
4.755 0.000 0.000
2.378 4.118 0.000
2.378 1.373 7.691
Cd Pd Er Ag
1 4 2 1
direct
0.000 0.000 0.000 Cd
0.625 0.625 0.124 Pd
0.375 0.375 0.876 Pd
0.876 0.876 0.372 Pd
0.124 0.124 0.628 Pd
0.248 0.248 0.257 Er
0.752 0.752 0.743 Er
0.500 0.500 0.500 Ag

***

# 2
PrErCdAg GGA-PBE relaxed; ΔH_f (0 K) = -279 meV per atom; total magnetization = 0.000 μB per formula unit; calculated total energy = -3.56 eV per atom
1.0
5.304 0.000 0.000
2.652 4.594 0.000
2.652 1.531 4.331
Ag Er Cd Pr
1 1 1 1
direct
0.250 0.250 0.250 Ag
0.000 0.000 0.000 Er
0.750 0.750 0.750 Cd
0.500 0.500 0.500 Pr

***

# 3
Pr2ErCd12Ag3 GGA-PBE relaxed; ΔH_f (0 K) = 105 meV per atom; total magnetization = 0.000 μB per formula unit; calculated total energy = -1.76 eV per atom
1.0
-0.233 1.947 -8.674
-0.345 -6.556 -5.998
-7.462 -1.362 -4.641
Cd Ag Pr Er
12 3 2 1
direct
0.175 0.175 0.541 Cd
0.835 0.239 0.239 Cd
0.541 0.175 0.175 Cd
0.825 0.459 0.825 Cd
0.165 0.761 0.761 Cd
0.825 0.825 0.459 Cd
0.175 0.541 0.175 Cd
0.459 0.825 0.825 Cd
0.239 0.835 0.239 Cd
0.239 0.239 0.835 Cd
0.761 0.761 0.165 Cd
0.761 0.165 0.761 Cd
0.500 0.000 0.000 Ag
0.000 0.500 0.000 Ag
0.000 0.000 0.500 Ag
0.417 0.417 0.417 Pr
0.583 0.583 0.583 Pr
0.000 0.000 0.000 Er

***

# 4
PrErCdAg GGA-PBE relaxed; ΔH_f (0 K) = -298 meV per atom; total magnetization = 0.262 μB per formula unit; calculated total energy = -3.58 eV per atom
1.0
-3.382 0.553 -1.431
-1.042 -3.371 1.160
-2.308 2.987 6.607
Pr Cd Er Ag
1 1 1 1
direct
0.000 0.000 0.862 Pr
0.500 0.500 0.586 Cd
0.000 0.000 0.345 Er
0.500 0.500 0.134 Ag

***

# 5
Er4CdAg2Pt GGA-PBE relaxed; ΔH_f (0 K) = -589 meV per atom; total magnetization = 0.000 μB per formula unit; calculated total energy = -4.45 eV per atom
1.0
-2.581 -4.229 1.100
-2.123 -2.718 -3.723
5.394 -6.755 -1.605
Er Ag Pt Cd
4 2 1 1
direct
0.131 0.131 0.607 Er
0.869 0.869 0.393 Er
0.617 0.617 0.148 Er
0.383 0.383 0.852 Er
0.259 0.259 0.224 Ag
0.741 0.741 0.776 Ag
0.500 0.500 0.500 Pt
0.000 0.000 0.000 Cd

***

# 6
ErPuCdAg GGA-PBE relaxed; ΔH_f (0 K) = -66 meV per atom; total magnetization = 6.059 μB per formula unit; calculated total energy = -5.73 eV per atom
1.0
-5.037 0.156 1.435
-1.286 -0.210 5.075
-1.911 4.250 2.396
Ag Cd Er Pu
1 1 1 1
direct
0.250 0.250 0.250 Ag
0.750 0.750 0.750 Cd
0.500 0.500 0.500 Er
0.000 0.000 0.000 Pu

***

# 7
Er4CdAgRh2 GGA-PBE relaxed; ΔH_f (0 K) = -581 meV per atom; total magnetization = 0.000 μB per formula unit; calculated total energy = -5.17 eV per atom
1.0
4.975 0.000 0.000
2.487 4.308 0.000
2.487 1.436 8.130
Rh Ag Er Cd
2 1 4 1
direct
0.750 0.750 0.752 Rh
0.250 0.250 0.248 Rh
0.500 0.500 0.500 Ag
0.873 0.873 0.381 Er
0.377 0.377 0.868 Er
0.623 0.623 0.132 Er
0.127 0.127 0.619 Er
0.000 0.000 0.000 Cd

***

# 8
Er4CdAg2Rh GGA-PBE relaxed; ΔH_f (0 K) = -489 meV per atom; total magnetization = 0.000 μB per formula unit; calculated total energy = -4.52 eV per atom
1.0
5.065 0.000 0.000
2.533 4.387 0.000
2.533 1.462 8.219
Ag Er Cd Rh
2 4 1 1
direct
0.742 0.742 0.773 Ag
0.258 0.258 0.227 Ag
0.384 0.384 0.847 Er
0.868 0.868 0.395 Er
0.132 0.132 0.605 Er
0.616 0.616 0.153 Er
0.000 0.000 0.000 Cd
0.500 0.500 0.500 Rh